! NdPuB2O8 PBE-GGA optimized geometry; values from VASP
! formation energy (no corrections) = -2.37 eV per atom
! D(E_F) = 5.40 states/eV per cell
! space-group type = No. 164
! V = 151.3 Å³/f.u.
&SYSTEM
  ibrav = 0, nat = 12, ntyp = 4
/
ATOMIC_SPECIES
Nd 144.24 Nd.upf
Pu 244.00 Pu.upf
B 10.81 B.upf
O 16.00 O.upf
ATOMIC_POSITIONS angstrom
Nd 0.000 0.000 3.445
Pu 0.000 0.000 0.000
B 0.000 2.907 4.973
B 2.518 1.454 1.917
O 0.000 1.519 5.528
O -1.202 3.601 5.528
O 1.202 3.601 5.528
O 1.316 0.760 1.362
O 2.518 1.454 3.312
O 0.000 2.907 3.578
O 2.518 2.842 1.362
O 3.720 0.760 1.362
CELL_PARAMETERS angstrom
5.036 0.000 0.000
-2.518 4.361 0.000
0.000 0.000 6.890

! Rb2NdB2O6 PBE-GGA optimized geometry; values from VASP
! formation energy (no corrections) = -2.40 eV per atom
! D(E_F) = 4.31 states/eV per cell
! space-group type = No. 166
! V = 181.9 Å³/f.u.
&SYSTEM
  ibrav = 0, nat = 11, ntyp = 4
/
ATOMIC_SPECIES
Rb 85.47 Rb.upf
Nd 144.24 Nd.upf
B 10.81 B.upf
O 16.00 O.upf
ATOMIC_POSITIONS angstrom
Rb -1.349 3.038 0.518
Rb 3.728 2.566 3.549
Nd 2.613 3.814 -0.194
B 1.188 4.785 2.935
B 1.191 0.819 1.132
O 2.185 4.647 1.988
O 1.395 1.812 0.193
O 1.781 0.887 5.139
O 0.984 3.792 3.874
O 0.599 4.718 -1.072
O 0.194 0.958 2.078
CELL_PARAMETERS angstrom
-1.380 5.034 -2.190
-2.846 -2.024 4.456
6.606 2.595 1.801

! NdSc3B4O12 PBE-GGA optimized geometry; values from VASP
! formation energy (no corrections) = -3.04 eV per atom
! D(E_F) = 0.00 states/eV per cell
! space-group type = No. 155
! V = 225.7 Å³/f.u.
&SYSTEM
  ibrav = 0, nat = 20, ntyp = 4
/
ATOMIC_SPECIES
Nd 144.24 Nd.upf
Sc 44.96 Sc.upf
B 10.81 B.upf
O 16.00 O.upf
ATOMIC_POSITIONS angstrom
Nd 0.000 0.000 0.000
Sc 2.772 2.792 0.050
Sc 2.041 -1.020 3.205
Sc -1.482 2.489 2.663
B 5.179 -0.617 2.959
B -1.847 1.258 5.564
B 1.666 5.749 0.354
B 1.666 2.130 2.959
O 1.666 1.005 3.769
O 4.840 2.918 0.605
O -1.508 4.612 2.959
O 1.666 -1.140 5.313
O 0.603 5.572 1.221
O -0.738 0.438 5.672
O 5.263 0.546 2.215
O 2.729 4.871 0.247
O -1.931 2.333 4.697
O 4.070 -0.979 3.703
O 2.758 2.401 2.149
O 0.574 2.984 2.959
CELL_PARAMETERS angstrom
6.296 0.036 0.050
-1.482 6.119 0.050
-1.482 -1.895 5.819

! NdSnB2O6 PBE-GGA optimized geometry; values from VASP
! formation energy (no corrections) = -2.39 eV per atom
! D(E_F) = 2.01 states/eV per cell
! space-group type = No. 15
! V = 130.7 Å³/f.u.
&SYSTEM
  ibrav = 0, nat = 20, ntyp = 4
/
ATOMIC_SPECIES
Nd 144.24 Nd.upf
Sn 118.71 Sn.upf
B 10.81 B.upf
O 16.00 O.upf
ATOMIC_POSITIONS angstrom
Nd -2.755 -2.741 -1.590
Nd -5.522 -0.262 -0.421
Sn -4.147 -2.200 3.332
Sn -4.130 -0.803 -5.344
B -3.829 1.298 -2.840
B -5.803 -2.370 -2.995
B -4.448 -4.301 0.828
B -2.474 -0.633 0.984
O -3.465 -4.810 -2.571
O -1.523 -0.874 -2.454
O -4.812 1.807 0.560
O -6.754 -2.129 0.443
O -1.177 -0.176 0.628
O -5.397 -4.892 -0.047
O -7.100 -2.826 -2.640
O -2.880 1.889 -1.964
O -3.329 -1.079 0.017
O -3.192 -4.010 0.377
O -4.948 -1.924 -2.028
O -5.085 1.007 -2.389
CELL_PARAMETERS angstrom
-0.607 -4.277 -4.878
-3.288 -3.236 4.601
-4.382 4.510 -1.735

! Sr3Nd2B4O12 PBE-GGA optimized geometry; values from VASP
! formation energy (no corrections) = -2.95 eV per atom
! D(E_F) = 0.00 states/eV per cell
! space-group type = No. 33
! V = 274.1 Å³/f.u.
&SYSTEM
  ibrav = 0, nat = 84, ntyp = 4
/
ATOMIC_SPECIES
Sr 87.62 Sr.upf
Nd 144.24 Nd.upf
B 10.81 B.upf
O 16.00 O.upf
ATOMIC_POSITIONS angstrom
Sr 11.733 -2.876 11.053
Sr 4.244 -5.292 6.379
Sr 2.658 -5.634 10.149
Sr 13.319 -2.534 7.284
Sr 7.958 -1.549 11.565
Sr 1.711 -5.823 3.285
Sr 0.214 -5.814 6.945
Sr 9.455 -1.558 7.905
Sr 0.144 -1.379 6.430
Sr 8.104 -5.813 7.839
Sr 6.516 -6.162 11.611
Sr 1.732 -1.030 2.658
Nd 2.744 -0.866 9.495
Nd 11.909 -7.135 7.396
Nd 10.414 -7.118 11.053
Nd 4.239 -0.883 5.838
Nd 5.742 -3.083 9.055
Nd -1.227 -3.638 3.686
Nd -3.298 -5.881 8.053
Nd 7.813 -0.840 4.688
B -2.535 -0.527 7.582
B 6.871 -6.172 5.086
B 5.199 -6.851 8.962
B -0.862 0.153 3.706
B 6.887 -3.223 6.120
B -2.438 -3.490 6.594
B -1.711 -6.521 3.884
B 6.161 -0.192 8.830
B 2.109 -3.182 4.889
B 8.779 -4.343 10.460
B 9.159 -8.732 8.177
B 1.728 1.207 7.172
B 11.096 -4.472 8.530
B 2.400 -3.383 7.887
B 2.717 -8.018 5.681
B 10.779 0.164 10.735
O -0.956 -1.187 3.362
O 5.182 -5.497 9.261
O 6.305 -6.976 6.063
O -2.078 0.291 6.559
O 0.645 -3.589 2.097
O 5.925 -3.392 11.484
O 6.348 -7.613 9.149
O 0.222 0.633 4.433
O 13.805 -5.447 7.481
O 3.751 -2.920 10.598
O 4.088 -7.478 8.368
O 13.467 -0.889 9.711
O 8.214 -2.866 6.039
O -1.654 -4.113 7.539
O -0.612 -5.906 4.440
O 7.172 -1.073 9.138
O 6.004 -2.538 5.281
O 11.600 -5.835 12.817
O 12.643 -7.623 9.717
O 4.960 -0.750 8.381
O -1.935 -2.589 5.690
O 6.416 -4.128 7.037
O 6.265 1.160 9.037
O -1.784 -7.877 3.689
O 3.227 -3.910 4.489
O 9.429 -3.838 11.584
O 9.670 -8.773 9.473
O 2.986 1.025 6.600
O 2.228 -1.801 5.054
O 8.680 -5.727 10.304
O 9.656 -7.780 7.287
O 1.252 0.252 8.071
O 8.174 -3.528 9.527
O 0.872 -3.765 5.068
O -1.187 -5.962 9.421
O 10.233 -1.331 5.174
O 1.368 -2.572 8.337
O 10.523 -5.081 7.422
O 10.384 0.254 9.408
O 1.508 -7.906 6.352
O 11.252 -3.106 8.600
O 2.265 -4.752 7.825
O 3.189 -7.009 4.872
O 10.329 -0.848 11.553
O 3.621 -2.773 7.564
O 11.585 -5.298 9.553
O 9.619 -7.132 13.791
O 5.587 -0.939 3.326
CELL_PARAMETERS angstrom
-2.327 2.635 6.497
-2.097 -8.227 2.585
15.373 -1.941 6.293

! Tb3NdB4O12 PBE-GGA optimized geometry; values from VASP
! formation energy (no corrections) = -3.06 eV per atom
! D(E_F) = 0.00 states/eV per cell
! space-group type = No. 155
! V = 259.0 Å³/f.u.
&SYSTEM
  ibrav = 0, nat = 20, ntyp = 4
/
ATOMIC_SPECIES
Tb 158.93 Tb.upf
Nd 144.24 Nd.upf
B 10.81 B.upf
O 16.00 O.upf
ATOMIC_POSITIONS angstrom
Tb -2.348 -1.185 3.182
Tb 2.770 -1.307 2.767
Tb -0.132 -4.105 -0.416
Nd 0.000 0.000 0.000
B 2.356 -0.541 5.937
B 2.676 -5.814 -0.366
B -4.597 -3.539 2.728
B 0.145 -3.298 2.766
O 1.523 -3.228 2.778
O -2.028 -1.138 5.456
O -1.753 -5.665 0.044
O 4.216 -3.091 2.800
O -3.887 -4.312 1.812
O 3.359 -5.038 0.566
O 0.966 -0.608 5.973
O -3.984 -2.700 3.654
O 1.287 -5.889 -0.424
O 3.130 -1.244 5.017
O -0.591 -2.567 3.677
O -0.498 -4.100 1.845
CELL_PARAMETERS angstrom
-0.132 1.578 6.360
-4.884 -4.347 -0.455
5.307 -3.829 -0.372